VASP calculation (GGA+U) on a relaxed Rb2SiWF6 crystal.

Its density of states at the Fermi level is 0.00 states/eV per atom. The theoretical density is 4.063 Mg/m³. As for the crystal system: tetragonal. For the energy, the calculation gives -4.824 eV per atom.

The space group is I4/mmm (No. 139) and the conventional cell measures 6.026, 6.026 and 11.184 Å, with angles of 90.00, 90.00 and 90.00 degrees. The inequivalent atoms are Rb at (0.000, 0.500, 0.250), Si at (0.000, 0.000, 0.000), W at (0.000, 0.000, 0.500), F at (0.000, 0.000, 0.312) and F at (0.249, 0.249, 0.500).